(1)
The following is a PBE calculation of a relaxed structure of Sc2Ni2As, from Alexandria.

Lattice parameters (Å, degrees): 6.5876 6.5876 3.6867 90.00 90.00 90.00
Atoms (fractional coordinates):
As: 0.0000 0.0000 0.0000
As: 0.5000 0.5000 0.0000
Ni: 0.1287 0.3713 0.0000
Ni: 0.8713 0.6287 0.0000
Ni: 0.6287 0.1287 0.0000
Ni: 0.3713 0.8713 0.0000
Sc: 0.3255 0.1745 0.5000
Sc: 0.8255 0.3255 0.5000
Sc: 0.6745 0.8255 0.5000
Sc: 0.1745 0.6745 0.5000

Values from the calculation:
**ΔE to the lowest computed polymorph**: 0.000 eV per atom
**Fermi-level density of states**: 3.57 states/eV/f.u.
**Total DFT energy (no corrections)**: -6.421 eV per atom
**Formation energy**: -0.65 eV per atom

=====

(2)
The following is a PBE calculation of a relaxed structure of VMo8, from Alexandria.

Lattice parameters (Å, degrees): 4.6519 6.0234 6.0234 81.42 67.28 67.28
Atoms (fractional coordinates):
Mo: 0.6648 0.0000 0.6703
Mo: 0.6702 0.3298 0.3298
Mo: 0.3298 0.6702 0.6702
Mo: 0.0000 0.3298 0.6702
Mo: 0.3352 0.0000 0.3297
Mo: 0.6648 0.6703 0.0000
Mo: 0.0000 0.6702 0.3298
Mo: 0.3352 0.3297 0.0000
V: 0.0000 0.0000 0.0000

Values from the calculation:
**ΔE to the lowest computed polymorph**: 0.324 eV per atom
**Fermi-level density of states**: 7.68 states/eV/f.u.
**Total DFT energy (no corrections)**: -10.382 eV per atom
**Formation energy**: 0.26 eV per atom